# 1
Below is crystalline KTl2In at its relaxed geometry, with properties calculated at the PBEsol level.

Cell and atoms, written as POSCAR:
```
KTl2In
1.0
5.201 -1.652 0.000
5.201 1.652 0.000
-0.786 0.000 7.113
K Tl In
1 2 1
direct
0.000 0.000 0.000 K
0.247 0.247 0.714 Tl
0.499 0.499 0.492 Tl
0.753 0.753 0.300 In
```

- crystal system = monoclinic
- Fermi-level density of states (states/eV/f.u.) = 1.77
- ΔE_f (eV per atom) = -0.03
- density (kg/m³) = 7645
- symmetry = No. 8

=====

# 2
Below is crystalline Co3OsW at its relaxed geometry, with properties calculated at the PBEsol level.

Cell and atoms, written as POSCAR:
```
Co3OsW
1.0
4.275 0.000 0.000
0.000 4.275 0.000
0.000 0.000 4.275
Co Os W
3 1 1
direct
0.000 0.000 0.500 Co
0.000 0.500 0.000 Co
0.500 0.000 0.000 Co
0.000 0.000 0.000 Os
0.500 0.500 0.500 W
```

- crystal system = cubic
- Fermi-level density of states (states/eV/f.u.) = 9.82
- ΔE_f (eV per atom) = 2.02
- energy above the lowest structure with this stoichiometry (meV/atom) = 0
- density (kg/m³) = 11707
- symmetry = No. 221

=====

# 3
Below is crystalline LiInO2 at its relaxed geometry, with properties calculated at the PBEsol level.

Cell and atoms, written as POSCAR:
```
LiInO2
1.0
-2.166 2.166 4.637
2.166 -2.166 4.637
2.166 2.166 -4.637
Li In O
2 2 4
direct
0.000 0.000 0.000 Li
0.750 0.250 0.500 Li
0.251 0.751 0.500 In
0.501 0.501 0.000 In
0.016 0.516 0.500 O
0.266 0.266 0.000 O
0.486 0.986 0.500 O
0.736 0.736 0.000 O
```

- crystal system = tetragonal
- E_form (uncorrected) (meV per atom) = -1759
- Fermi-level density of states (states/eV/f.u.) = 0.00
- density (kg/m³) = 5865
- symmetry = No. 109

=====

Number 1: electronic total energy -0.0871 hartree per atom. Number 2: electronic total energy -0.2876 hartree per atom. Number 3: electronic total energy -0.2066 hartree per atom.